Li3CdF (PBE, relaxed); offset from the most stable computed form = 992 meV/atom; total moment = 0.000 μB per atom; final energy = -9.3 eV for the cell shown; DOS at the Fermi energy = 3.6 states/eV/cell
1.0
-1.5855 3.4047 -3.5072
0.1608 -3.6487 -3.6148
-4.8853 -1.2251 1.0192
F Cd Li
1 1 3
Direct
0.5000 0.5000 0.5000 F
0.0000 0.0000 0.0000 Cd
0.0000 0.5000 0.0000 Li
0.0000 0.0000 0.5000 Li
0.5000 0.0000 0.0000 Li